No. 1
# MnFe4CuO8

An optimized crystal structure of MnFe4CuO8 (GGA-PBEsol, Alexandria).

Output
The calculation puts the uncorrected formation energy at -1191 meV per atom.

extended XYZ file:
```
14
Lattice="0.0000 4.0393 4.0393 4.0393 0.0000 4.0393 4.0393 4.0393 0.0000" Properties=species:S:1:pos:R:3 pbc="T T T"
Mn 0.0000 0.0000 0.0000
Fe 3.0271 3.0271 3.0271
Fe 5.0514 5.0514 3.0271
Fe 5.0514 3.0271 5.0514
Fe 3.0271 5.0514 5.0514
Cu 6.0589 6.0589 6.0589
O 1.1052 1.1052 1.1052
O 2.9341 2.9341 1.1052
O 2.9341 1.1052 2.9341
O 4.9337 3.1449 3.1449
O 1.1052 2.9341 2.9341
O 3.1449 4.9337 3.1449
O 3.1449 3.1449 4.9337
O 4.9337 4.9337 4.9337
```


No. 2
# BaIr2W

An optimized crystal structure of BaIr2W (GGA-PBEsol, Alexandria).

Output
The total energy comes out at -8.64 eV/atom.

extended XYZ file:
```
4
Lattice="3.7055 -2.1378 0.0000 3.7055 2.1378 0.0000 -2.4235 0.0000 6.2083" Properties=species:S:1:pos:R:3 pbc="T T T"
Ba 0.0000 0.0000 0.0000
Ir -0.0004 0.0000 3.5895
Ir 2.4687 0.0000 2.3482
W 4.9366 0.0000 2.8213
```


No. 3
# ZrTaB4

An optimized crystal structure of ZrTaB4 (GGA-PBEsol, Alexandria).

Output
The total energy comes out at -9.21 eV/atom.

extended XYZ file:
```
6
Lattice="3.1190 0.0000 0.0000 -1.5595 2.7011 0.0000 0.0000 0.0000 6.7836" Properties=species:S:1:pos:R:3 pbc="T T T"
Zr 0.0000 0.0000 0.0000
Ta 0.0000 0.0000 3.3918
B 0.0000 1.8007 1.7584
B 0.0000 1.8007 5.0252
B 1.5595 0.9004 1.7584
B 1.5595 0.9004 5.0252
```


No. 4
# Ti3NbTe

An optimized crystal structure of Ti3NbTe (GGA-PBEsol, Alexandria).

Output
The calculation puts the uncorrected formation energy at 800 meV per atom.

extended XYZ file:
```
5
Lattice="4.7539 0.0000 0.0000 0.0000 4.7539 0.0000 0.0000 0.0000 4.7539" Properties=species:S:1:pos:R:3 pbc="T T T"
Ti 0.0000 0.0000 2.3770
Ti 0.0000 2.3770 0.0000
Ti 2.3770 0.0000 0.0000
Nb 0.0000 0.0000 0.0000
Te 2.3770 2.3770 2.3770
```